# 1
First-principles (PBE-GGA) data for a relaxed SnBi3Se crystal, as listed in the Alexandria database.

Computed properties:
excess energy over the best structure of this formula in the dataset	0.0	meV/atom
DOS at the Fermi energy	3.9	states/eV/cell
formation energy (no corrections)	0.460	eV per atom
E_tot	-16.829	eV per cell

Cell and atoms, written as POSCAR:
```
SnBi3Se
1.0
5.591 0.000 0.000
0.000 5.591 0.000
0.000 0.000 5.591
Bi Se Sn
3 1 1
direct
0.000 0.500 0.000 Bi
0.000 0.000 0.500 Bi
0.500 0.000 0.000 Bi
0.000 0.000 0.000 Se
0.500 0.500 0.500 Sn
```

# 2
First-principles (PBE-GGA) data for a relaxed Er4CuPb2 crystal, as listed in the Alexandria database.

Computed properties:
DOS at the Fermi energy	9.0	states/eV/cell
E_tot	-64.067	eV per cell

Cell and atoms, written as POSCAR:
```
Er4CuPb2
1.0
-0.068 4.907 4.554
-6.532 0.743 -0.898
-1.449 -9.419 2.754
Er Cu Pb
8 2 4
direct
0.370 0.493 0.213 Er
0.166 0.750 0.833 Er
0.834 0.250 0.167 Er
0.370 0.007 0.213 Er
0.873 0.250 0.557 Er
0.630 0.993 0.787 Er
0.630 0.507 0.787 Er
0.127 0.750 0.443 Er
0.002 0.750 0.043 Cu
0.998 0.250 0.957 Cu
0.681 0.750 0.114 Pb
0.319 0.250 0.886 Pb
0.301 0.250 0.474 Pb
0.699 0.750 0.526 Pb
```

# 3
First-principles (PBE-GGA) data for a relaxed ZrSbTe2Rh crystal, as listed in the Alexandria database.

Computed properties:
excess energy over the best structure of this formula in the dataset	0.0	meV/atom
DOS at the Fermi energy	4.3	states/eV/cell
formation energy (no corrections)	0.295	eV per atom
E_tot	-24.829	eV per cell

Cell and atoms, written as POSCAR:
```
ZrSbTe2Rh
1.0
-1.399 -1.117 4.880
1.218 -4.990 -0.793
4.711 0.902 1.557
Sb Te Rh Zr
1 2 1 1
direct
0.000 0.000 0.500 Sb
0.000 0.500 0.000 Te
0.500 0.000 0.000 Te
0.000 0.000 0.000 Rh
0.500 0.500 0.500 Zr
```

# 4
First-principles (PBE-GGA) data for a relaxed Zr2V2Au crystal, as listed in the Alexandria database.

Computed properties:
DOS at the Fermi energy	12.4	states/eV/cell
E_tot	-77.506	eV per cell

Cell and atoms, written as POSCAR:
```
Zr2V2Au
1.0
-6.852 -0.294 0.481
0.550 -2.194 6.492
-0.070 3.674 1.247
Au Zr V
2 4 4
direct
0.000 0.000 0.000 Au
0.500 0.500 0.000 Au
0.176 0.676 0.500 Zr
0.676 0.824 0.500 Zr
0.824 0.324 0.500 Zr
0.324 0.176 0.500 Zr
0.380 0.880 0.000 V
0.880 0.620 0.000 V
0.620 0.120 0.000 V
0.120 0.380 0.000 V
```

# 5
First-principles (PBE-GGA) data for a relaxed PuCdHgPd crystal, as listed in the Alexandria database.

Computed properties:
DOS at the Fermi energy	13.8	states/eV/cell
E_tot	-21.228	eV per cell

Cell and atoms, written as POSCAR:
```
PuCdHgPd
1.0
5.017 0.000 0.000
2.508 4.345 0.000
2.508 1.448 4.096
Cd Hg Pd Pu
1 1 1 1
direct
0.750 0.750 0.750 Cd
0.000 0.000 0.000 Hg
0.250 0.250 0.250 Pd
0.500 0.500 0.500 Pu
```

# 6
First-principles (PBE-GGA) data for a relaxed TbPuTlCd crystal, as listed in the Alexandria database.

Computed properties:
DOS at the Fermi energy	9.1	states/eV/cell
E_tot	-22.817	eV per cell

Cell and atoms, written as POSCAR:
```
TbPuTlCd
1.0
-0.546 -4.465 -2.939
-1.916 -4.484 2.257
-4.901 -1.779 -1.299
Tl Cd Tb Pu
1 1 1 1
direct
0.250 0.250 0.250 Tl
0.750 0.750 0.750 Cd
0.500 0.500 0.500 Tb
0.000 0.000 0.000 Pu
```

# 7
First-principles (PBE-GGA) data for a relaxed Rb2HfTaS crystal, as listed in the Alexandria database.

Computed properties:
DOS at the Fermi energy	11.5	states/eV/cell
formation energy (no corrections)	1.138	eV per atom
E_tot	-22.180	eV per cell

Cell and atoms, written as POSCAR:
```
Rb2HfTaS
1.0
-5.015 -3.578 0.421
0.677 -0.406 4.604
-3.490 5.004 0.954
S Hf Rb Ta
1 1 2 1
direct
0.000 0.000 0.000 S
0.500 0.500 0.500 Hf
0.000 0.000 0.500 Rb
0.500 0.000 0.000 Rb
0.000 0.500 0.000 Ta
```

# 8
First-principles (PBE-GGA) data for a relaxed Ac3Bi crystal, as listed in the Alexandria database.

Computed properties:
excess energy over the best structure of this formula in the dataset	0.0	meV/atom
DOS at the Fermi energy	2.8	states/eV/cell
E_tot	-17.712	eV per cell

Cell and atoms, written as POSCAR:
```
Ac3Bi
1.0
5.360 0.000 0.000
0.000 5.356 0.000
0.000 0.000 5.359
Ac Bi
3 1
direct
0.000 0.000 0.083 Ac
0.000 0.500 0.583 Ac
0.500 0.500 0.083 Ac
0.500 0.000 0.583 Bi
```

# 9
First-principles (PBE-GGA) data for a relaxed LiTaZn2 crystal, as listed in the Alexandria database.

Computed properties:
excess energy over the best structure of this formula in the dataset	104.8	meV/atom
DOS at the Fermi energy	3.0	states/eV/cell
E_tot	-16.165	eV per cell

Cell and atoms, written as POSCAR:
```
LiTaZn2
1.0
9.676 0.042 0.024
9.261 2.803 0.024
9.261 1.391 2.433
Li Ta Zn
1 1 2
direct
0.250 0.250 0.250 Li
0.750 0.750 0.750 Ta
0.997 0.997 0.997 Zn
0.503 0.503 0.503 Zn
```

# 10
First-principles (PBE-GGA) data for a relaxed RbSeBr2 crystal, as listed in the Alexandria database.

Computed properties:
excess energy over the best structure of this formula in the dataset	538.9	meV/atom
DOS at the Fermi energy	1.3	states/eV/cell
formation energy (no corrections)	-0.109	eV per atom
E_tot	-8.233	eV per cell

Cell and atoms, written as POSCAR:
```
RbSeBr2
1.0
2.917 0.000 9.317
-1.459 2.526 9.317
-1.459 -2.526 9.317
Se Br Rb
1 2 1
direct
0.500 0.500 0.500 Se
0.888 0.888 0.888 Br
0.112 0.112 0.112 Br
0.000 0.000 0.000 Rb
```

# 11
First-principles (PBE-GGA) data for a relaxed CaInNi2Bi crystal, as listed in the Alexandria database.

Computed properties:
DOS at the Fermi energy	1.6	states/eV/cell
E_tot	-17.827	eV per cell

Cell and atoms, written as POSCAR:
```
CaInNi2Bi
1.0
-4.777 -0.484 -0.416
-0.133 -2.906 4.902
-0.629 4.118 2.424
Ni Ca Bi In
2 1 1 1
direct
0.000 0.000 0.500 Ni
0.500 0.000 0.000 Ni
0.500 0.500 0.500 Ca
0.000 0.500 0.000 Bi
0.000 0.000 0.000 In
```

# 12
First-principles (PBE-GGA) data for a relaxed U2CoC2 crystal, as listed in the Alexandria database.

Computed properties:
DOS at the Fermi energy	13.4	states/eV/cell
E_tot	-97.152	eV per cell

Cell and atoms, written as POSCAR:
```
U2CoC2
1.0
3.105 0.000 0.000
0.000 5.183 0.000
-1.553 0.000 8.138
U Co C
4 2 4
direct
0.027 0.301 0.054 U
0.187 0.489 0.373 U
0.813 0.989 0.627 U
0.973 0.801 0.946 U
0.634 0.958 0.269 Co
0.366 0.458 0.731 Co
0.577 0.634 0.153 C
0.203 0.983 0.407 C
0.797 0.483 0.593 C
0.423 0.134 0.847 C
```

| no. | size of the total moment (μB/f.u.) |
| --- | --- |
| 1 | 0.00 |
| 2 | 0.00 |
| 3 | 0.04 |
| 4 | 0.00 |
| 5 | 5.80 |
| 6 | 6.37 |
| 7 | 2.67 |
| 8 | 0.00 |
| 9 | 0.00 |
| 10 | 2.98 |
| 11 | 0.00 |
| 12 | 0.00 |